# 1
Below is a geometry-optimized Y3CdRh8 structure, with properties calculated at the GGA-PBE level.

a = 9.2312 Å, b = 9.2312 Å, c = 9.2312 Å
α = 33.42°, β = 33.42°, γ = 33.42°
Element x y z (fractional)
Y (0.0000, 0.0000, 0.0000)
Y (0.1284, 0.1284, 0.1284)
Y (0.6197, 0.6197, 0.6197)
Cd (0.4976, 0.4976, 0.4976)
Rh (0.0613, 0.0613, 0.5629)
Rh (0.0613, 0.5629, 0.0613)
Rh (0.0618, 0.5620, 0.5620)
Rh (0.3119, 0.3119, 0.3119)
Rh (0.5620, 0.0618, 0.5620)
Rh (0.5620, 0.5620, 0.0618)
Rh (0.5629, 0.0613, 0.0613)
Rh (0.8120, 0.8120, 0.8120)

Output
Its formation energy is -588 meV per atom. Its space-group type is R3m (160).

---

# 2
Below is a geometry-optimized ZrSbP2C structure, with properties calculated at the GGA-PBE level.

a = 4.8969 Å, b = 4.8969 Å, c = 5.5268 Å
α = 90.00°, β = 90.00°, γ = 90.00°
Element x y z (fractional)
Zr (0.0000, 0.0000, 0.0000)
Sb (0.0000, 0.0000, 0.5000)
P (0.0000, 0.5000, 0.5000)
P (0.5000, 0.0000, 0.5000)
C (0.5000, 0.5000, 0.0000)

Output
Its calculated total energy is -0.3106 Ry per atom. Its space-group type is P4/mmm (123).

---

# 3
Below is a geometry-optimized Cs2NiPdS4 structure, with properties calculated at the GGA-PBE level.

a = 13.8143 Å, b = 12.3002 Å, c = 7.4983 Å
α = 84.81°, β = 62.47°, γ = 32.72°
Element x y z (fractional)
Cs (0.0543, 0.0543, 0.6957)
Cs (0.3043, 0.3043, 0.9457)
Cs (0.6957, 0.6957, 0.0543)
Cs (0.9457, 0.9457, 0.3043)
Ni (0.3750, 0.3750, 0.3750)
Ni (0.6250, 0.6250, 0.6250)
Pd (0.1250, 0.1250, 0.1250)
Pd (0.8750, 0.8750, 0.8750)
S (0.0076, 0.6387, 0.5689)
S (0.2848, 0.5689, 0.6387)
S (0.3613, 0.9924, 0.7152)
S (0.4311, 0.7152, 0.9924)
S (0.5689, 0.2848, 0.0076)
S (0.6387, 0.0076, 0.2848)
S (0.7152, 0.4311, 0.3613)
S (0.9924, 0.3613, 0.4311)

Output
Its calculated total energy is -0.3092 Ry per atom. Its space-group type is Fddd (70).

---

# 4
Below is a geometry-optimized MgAg2Te structure, with properties calculated at the GGA-PBE level.

a = 5.4660 Å, b = 5.4660 Å, c = 5.4660 Å
α = 133.21°, β = 133.17°, γ = 68.36°
Element x y z (fractional)
Mg (0.0000, 0.0000, 0.0000)
Ag (0.4999, 0.4999, 0.0000)
Ag (0.7492, 0.2492, 0.5000)
Te (0.2502, 0.7502, 0.5000)

Output
For the energy above the most stable polymorph in this dataset, the calculation gives 0.0782 eV/atom. Its space-group type is Imm2 (44).